Record 1
An optimized crystal structure of HfBiTe. Source: OQMD via LeMat-Bulk, functional PBE.

Computed properties:
For the total energy, the calculation gives -5.3036 eV/atom.

Structure (extended XYZ):
```
3
Lattice="0.000 3.558 3.558 3.558 0.000 3.558 3.558 3.558 0.000" Properties=species:S:1:pos:R:3 pbc="T T T"
Hf 0.000 0.000 0.000
Bi 3.558 3.558 3.558
Te 5.337 5.337 5.337
```

=====

Record 2
An optimized crystal structure of YTaPO. Source: OQMD via LeMat-Bulk, functional PBE.

Computed properties:
The value obtained for the energy above the most stable polymorph in this dataset is 0.4753 eV/atom.

Structure (extended XYZ):
```
8
Lattice="3.812 0.000 0.000 0.000 7.032 0.000 0.000 0.000 5.713" Properties=species:S:1:pos:R:3 pbc="T T T"
Y 0.000 1.519 0.000
Y 0.000 5.513 2.857
Ta 1.906 2.847 2.877
Ta 1.906 4.185 0.020
P 0.000 1.250 2.762
P 0.000 5.782 5.619
O 1.906 2.275 4.892
O 1.906 4.757 2.036
```

=====

Record 3
An optimized crystal structure of Na2CdHg. Source: OQMD via LeMat-Bulk, functional PBE.

Computed properties:
For the total energy, the calculation gives -1.1269 eV/atom.

Structure (extended XYZ):
```
8
Lattice="5.905 0.000 0.000 -0.513 6.102 0.000 -0.948 -1.723 6.086" Properties=species:S:1:pos:R:3 pbc="T T T"
Na 0.668 1.607 0.925
Na 0.526 4.237 3.242
Na 3.918 0.141 2.844
Na 3.777 2.771 5.161
Cd 1.731 4.833 0.325
Cd 2.713 -0.455 5.761
Hg 0.817 1.191 4.123
Hg 3.627 3.188 1.963
```

=====

Record 4
An optimized crystal structure of Lu4Zr2Fe3N3. Source: OQMD via LeMat-Bulk, functional PBE.

Computed properties:
For the total energy, the calculation gives -7.7364 eV/atom.

Structure (extended XYZ):
```
24
Lattice="4.841 -2.796 0.000 4.841 2.796 0.000 -3.261 0.000 14.110" Properties=species:S:1:pos:R:3 pbc="T T T"
Lu 0.807 0.459 1.292
Lu 0.791 0.456 5.762
Lu -0.824 -0.459 8.347
Lu -0.840 -0.456 12.817
Lu 7.261 0.456 1.293
Lu 7.245 0.459 5.763
Lu 5.630 -0.456 8.348
Lu 5.614 -0.459 12.818
Zr 4.039 0.447 1.493
Zr 4.013 0.447 5.562
Zr 2.408 -0.447 8.548
Zr 2.382 -0.447 12.617
Fe 2.395 2.287 10.583
Fe 0.126 0.867 10.594
Fe 1.756 -0.867 3.539
Fe 4.665 0.867 10.571
Fe 6.295 -0.867 3.516
Fe 4.026 -2.287 3.528
N 2.421 1.398 0.000
N 2.451 1.315 7.055
N 5.601 1.315 0.000
N 0.790 -1.398 7.055
N 4.081 -1.315 0.000
N 3.970 -1.315 7.055
```

=====

Record 5
An optimized crystal structure of InNiMoOs. Source: OQMD via LeMat-Bulk, functional PBE.

Computed properties:
For the total energy, the calculation gives -7.2461 eV/atom.

Structure (extended XYZ):
```
4
Lattice="0.000 3.126 3.126 3.126 0.000 3.126 3.126 3.126 0.000" Properties=species:S:1:pos:R:3 pbc="T T T"
In 0.000 0.000 0.000
Ni 1.563 1.563 1.563
Mo 4.689 4.689 4.689
Os 3.126 3.126 3.126
```

=====

Record 6
An optimized crystal structure of BaDy2Te4. Source: OQMD via LeMat-Bulk, functional PBE.

Computed properties:
For the total energy, the calculation gives -4.9276 eV/atom.

Structure (extended XYZ):
```
28
Lattice="13.783 0.000 0.000 0.000 4.486 0.000 0.000 0.000 16.295" Properties=species:S:1:pos:R:3 pbc="T T T"
Ba 3.291 1.121 2.760
Ba 3.600 3.364 10.908
Ba 10.183 1.121 5.388
Ba 10.492 3.364 13.535
Dy 0.825 1.121 6.364
Dy 1.111 1.121 14.721
Dy 5.781 3.364 6.573
Dy 6.067 3.364 14.511
Dy 7.716 1.121 1.784
Dy 8.002 1.121 9.722
Dy 12.672 3.364 1.574
Dy 12.958 3.364 9.932
Te 0.371 3.364 12.776
Te 1.239 1.121 9.396
Te 1.760 3.364 0.463
Te 2.824 3.364 5.519
Te 4.067 1.121 13.667
Te 5.131 1.121 8.610
Te 5.652 3.364 1.248
Te 6.521 1.121 4.629
Te 7.262 3.364 11.667
Te 8.131 1.121 15.047
Te 8.652 3.364 7.685
Te 9.716 3.364 2.629
Te 10.958 1.121 10.776
Te 12.023 1.121 15.833
Te 12.544 3.364 6.900
Te 13.412 1.121 3.519
```

=====

Record 7
An optimized crystal structure of BaNdW. Source: OQMD via LeMat-Bulk, functional PBE.

Computed properties:
For the total energy, the calculation gives -4.6192 eV/atom.

Structure (extended XYZ):
```
3
Lattice="0.000 3.662 3.662 3.662 0.000 3.662 3.662 3.662 0.000" Properties=species:S:1:pos:R:3 pbc="T T T"
Ba 0.000 0.000 0.000
Nd 5.493 5.493 5.493
W 1.831 1.831 1.831
```

=====

Record 8
An optimized crystal structure of Gd3Bi2Se. Source: OQMD via LeMat-Bulk, functional PBE.

Computed properties:
For the total energy, the calculation gives -5.4491 eV/atom.

Structure (extended XYZ):
```
6
Lattice="4.379 0.000 0.000 -2.190 3.792 0.000 0.000 0.000 10.695" Properties=species:S:1:pos:R:3 pbc="T T T"
Gd 0.000 0.000 0.000
Gd 0.000 2.528 3.757
Gd 2.190 1.264 6.938
Bi 0.000 2.528 8.815
Bi 2.190 1.264 1.881
Se 0.000 0.000 5.348
```

=====

Repeat the first record exactly.
An optimized crystal structure of HfBiTe. Source: OQMD via LeMat-Bulk, functional PBE.

Computed properties:
For the total energy, the calculation gives -5.3036 eV/atom.

Structure (extended XYZ):
```
3
Lattice="0.000 3.558 3.558 3.558 0.000 3.558 3.558 3.558 0.000" Properties=species:S:1:pos:R:3 pbc="T T T"
Hf 0.000 0.000 0.000
Bi 3.558 3.558 3.558
Te 5.337 5.337 5.337
```

=====

Copy entry 5 word for word.
An optimized crystal structure of InNiMoOs. Source: OQMD via LeMat-Bulk, functional PBE.

Computed properties:
For the total energy, the calculation gives -7.2461 eV/atom.

Structure (extended XYZ):
```
4
Lattice="0.000 3.126 3.126 3.126 0.000 3.126 3.126 3.126 0.000" Properties=species:S:1:pos:R:3 pbc="T T T"
In 0.000 0.000 0.000
Ni 1.563 1.563 1.563
Mo 4.689 4.689 4.689
Os 3.126 3.126 3.126
```